The following is a PBE-GGA calculation of a relaxed structure of Sr2CdO, from Alexandria.

The value obtained for the energy above the lowest structure with this stoichiometry is 860 meV/atom. The total magnetization comes out at 0.000 μB per formula unit. The value obtained for the formation energy without anion corrections is -0.509 eV/atom. Its density is 4.6 g cm⁻³.

POSCAR file:
```
Sr2CdO
1.0
0.000 3.786 3.786
3.786 0.000 3.786
3.786 3.786 0.000
Sr Cd O
2 1 1
Cartesian
5.679 5.679 5.679 Sr
1.893 1.893 1.893 Sr
3.786 3.786 3.786 Cd
0.000 0.000 0.000 O
```